VASP calculation (PBE-GGA) on crystalline AcAlPt4 at its relaxed geometry.

```
data_AcAlPt4
_cell_length_a 7.897
_cell_length_b 4.014
_cell_length_c 7.211
_cell_angle_alpha 90.00
_cell_angle_beta 90.00
_cell_angle_gamma 90.00
_symmetry_space_group_name_H-M 'P m m a'
_symmetry_Int_Tables_number 51
loop_
_symmetry_equiv_pos_as_xyz
'x,y,z'
'-x,-y,-z'
'-x+1/2,-y,z'
'x+1/2,y,-z'
'x+1/2,-y,-z'
'-x+1/2,y,z'
'-x,y,-z'
'x,-y,z'
loop_
_atom_site_label
_atom_site_type_symbol
_atom_site_fract_x
_atom_site_fract_y
_atom_site_fract_z
_atom_site_occupancy
Ac1 Ac 0.250 0.000 0.144 1
Al1 Al 0.250 0.000 0.707 1
Pt1 Pt 0.000 0.000 0.500 1
Pt2 Pt 0.057 0.500 0.812 1
Pt3 Pt 0.250 0.500 0.476 1
```

Energy of formation = -0.866 eV per atom
Magnetic moment = 0.00 μB/cell
Total energy = -0.45578 Ry/atom